[1]
Here is crystalline MgBeGe2O6 at its relaxed geometry from the Alexandria database. Energies are from PBE.

Values from the calculation:
E_form (uncorrected): -2083.4 meV/atom

Lattice parameters (Å, degrees): 9.734 9.474 5.299 90.00 111.59 90.00
Space group C2/c (No. 15)
Symmetry-distinct sites (fractional):
Mg  0.000  0.108  0.250 [4 per cell]
Be  0.000  0.191  0.750 [4 per cell]
Ge  0.190  0.408  0.191 [8 per cell]
O  0.100  0.250  0.056 [8 per cell]
O  0.113  0.085  0.664 [8 per cell]
O  0.139  0.443  0.475 [8 per cell]



[2]
Here is crystalline La2Sb3Pd4Pt at its relaxed geometry from the Alexandria database. Energies are from PBE.

Values from the calculation:
E_form (uncorrected): -836.9 meV/atom

Lattice parameters (Å, degrees): 4.429 4.429 11.311 90.00 90.00 90.00
Space group P-4m2 (No. 115)
Symmetry-distinct sites (fractional):
La  0.000  0.500  0.237 [2 per cell]
Sb  0.000  0.000  0.000 [1 per cell]
Sb  0.000  0.500  0.631 [2 per cell]
Pd  0.000  0.000  0.500 [1 per cell]
Pd  0.000  0.500  0.858 [2 per cell]
Pd  0.500  0.500  0.500 [1 per cell]
Pt  0.500  0.500  0.000 [1 per cell]



[3]
Here is crystalline TcHOs3 at its relaxed geometry from the Alexandria database. Energies are from PBE.

Values from the calculation:
E: -6.59 eV/atom

Lattice parameters (Å, degrees): 4.691 4.691 4.691 90.00 90.00 90.00
Space group Pm-3m (No. 221)
Symmetry-distinct sites (fractional):
Tc  0.000  0.000  0.000 [1 per cell]
H  0.500  0.500  0.500 [1 per cell]
Os  0.000  0.000  0.500 [3 per cell]



[4]
Here is crystalline BeAgSbW2 at its relaxed geometry from the Alexandria database. Energies are from PBE.

Values from the calculation:
E_form (uncorrected): 2185.0 meV/atom

Lattice parameters (Å, degrees): 4.987 4.987 4.320 90.00 90.00 90.00
Space group P4/mmm (No. 123)
Symmetry-distinct sites (fractional):
Be  0.000  0.000  0.000 [1 per cell]
Ag  0.500  0.500  0.000 [1 per cell]
Sb  0.000  0.000  0.500 [1 per cell]
W  0.000  0.500  0.500 [2 per cell]



[5]
Here is crystalline Pm6SiRu2Br3 at its relaxed geometry from the Alexandria database. Energies are from PBE.

Values from the calculation:
E_form (uncorrected): -857.2 meV/atom

Lattice parameters (Å, degrees): 7.191 12.474 8.024 90.00 107.50 90.00
Space group C2/m (No. 12)
Symmetry-distinct sites (fractional):
Pm  0.217  0.000  0.199 [4 per cell]
Pm  0.240  0.325  0.199 [8 per cell]
Si  0.000  0.500  0.000 [2 per cell]
Ru  0.000  0.167  0.000 [4 per cell]
Br  0.000  0.000  0.500 [2 per cell]
Br  0.000  0.336  0.500 [4 per cell]



[6]
Here is crystalline Rb2Zr3HgS8 at its relaxed geometry from the Alexandria database. Energies are from PBE.

Values from the calculation:
E_form (uncorrected): -1292.6 meV/atom

Lattice parameters (Å, degrees): 7.6424 7.6424 24.7635 90.00 90.00 120.00
Space group R3m (No. 160, hexagonal axes)
Symmetry-distinct sites (fractional):
Rb  0.0000  0.0000  0.0000 [3 per cell]
Rb  0.0000  0.0000  0.3457 [3 per cell]
Zr  0.0046  0.5023  0.8559 [9 per cell]
Hg  0.0000  0.0000  0.7972 [3 per cell]
S  0.0000  0.0000  0.1298 [3 per cell]
S  0.0000  0.0000  0.5785 [3 per cell]
S  0.0413  0.5206  0.1234 [9 per cell]
S  0.1717  0.3434  0.9080 [9 per cell]